## NbP3Ru (GGA-PBE)

Data for NbP3Ru after structural relaxation.

Cell: 4.7534 4.7534 4.7534 Å, 90.00 90.00 90.00°
Sites, in units of the cell vectors:
Nb (0.0000, 0.0000, 0.0000)
P (0.0000, 0.0000, 0.5000)
P (0.0000, 0.5000, 0.0000)
P (0.5000, 0.0000, 0.0000)
Ru (0.5000, 0.5000, 0.5000)

Output
- Density of states at the Fermi level: 3.6 states/eV/cell
- Energy of formation: 1.012 eV/atom
- Magnetic moment: 2.03 μB/f.u.



## NbPRu (GGA-PBE)

Data for NbPRu after structural relaxation.

Cell: 6.3427 3.7671 10.8626 Å, 90.00 90.80 90.00°
Sites, in units of the cell vectors:
Nb (0.0224, 0.2500, 0.2119)
Nb (0.3485, 0.7500, 0.5780)
Nb (0.4688, 0.7500, 0.8833)
Nb (0.5312, 0.2500, 0.1167)
Nb (0.6515, 0.2500, 0.4220)
Nb (0.9776, 0.7500, 0.7881)
P (0.2361, 0.7500, 0.0840)
P (0.2377, 0.2500, 0.4156)
P (0.2698, 0.2500, 0.7515)
P (0.7302, 0.7500, 0.2485)
P (0.7623, 0.7500, 0.5844)
P (0.7639, 0.2500, 0.9160)
Ru (0.0183, 0.2500, 0.5908)
Ru (0.1470, 0.2500, 0.9607)
Ru (0.3653, 0.7500, 0.2929)
Ru (0.6347, 0.2500, 0.7071)
Ru (0.8530, 0.7500, 0.0393)
Ru (0.9817, 0.7500, 0.4092)

Output
- Density of states at the Fermi level: 10.1 states/eV/cell
- Energy of formation: -0.804 eV/atom
- Magnetic moment: 0.00 μB/f.u.



## NbP2Ru2 (GGA-PBE)

Data for NbP2Ru2 after structural relaxation.

Cell: 6.9916 6.9916 2.8309 Å, 90.00 90.00 90.00°
Sites, in units of the cell vectors:
Nb (0.0000, 0.0000, 0.0000)
Nb (0.5000, 0.5000, 0.0000)
P (0.1561, 0.3439, 0.0000)
P (0.3439, 0.8439, 0.0000)
P (0.6561, 0.1561, 0.0000)
P (0.8439, 0.6561, 0.0000)
Ru (0.1460, 0.6460, 0.5000)
Ru (0.3540, 0.1460, 0.5000)
Ru (0.6460, 0.8540, 0.5000)
Ru (0.8540, 0.3540, 0.5000)

Output
- Density of states at the Fermi level: 8.6 states/eV/cell
- Energy of formation: -0.378 eV/atom
- Magnetic moment: 0.00 μB/f.u.



## NbP2Ru (GGA-PBE)

Data for NbP2Ru after structural relaxation.

Cell: 5.4379 5.4379 10.6906 Å, 90.00 90.00 90.00°
Sites, in units of the cell vectors:
Nb (0.0000, 0.0000, 0.0000)
Nb (0.0000, 0.5000, 0.2500)
Nb (0.5000, 0.0000, 0.7500)
Nb (0.5000, 0.5000, 0.5000)
P (0.2223, 0.2500, 0.6250)
P (0.2500, 0.7223, 0.8750)
P (0.2500, 0.7777, 0.3750)
P (0.2777, 0.2500, 0.1250)
P (0.7223, 0.7500, 0.1250)
P (0.7500, 0.2223, 0.3750)
P (0.7500, 0.2777, 0.8750)
P (0.7777, 0.7500, 0.6250)
Ru (0.0000, 0.0000, 0.5000)
Ru (0.0000, 0.5000, 0.7500)
Ru (0.5000, 0.0000, 0.2500)
Ru (0.5000, 0.5000, 0.0000)

Output
- Density of states at the Fermi level: 7.9 states/eV/cell
- Energy of formation: -0.150 eV/atom
- Magnetic moment: 0.00 μB/f.u.